(1)
! GGA-PBE CsEuAu2, relaxed; values from VASP
! calculated formation energy: -0.5419 eV per atom
! polymorph energy (0 for the lowest one): 0.000 kcal/mol of atoms
! DFT total energy: -19.9 eV for the cell shown
! D(E_F): 11.2 states/eV/cell
&SYSTEM
  ibrav = 0, nat = 4, ntyp = 3
/
ATOMIC_SPECIES
Eu 151.96 Eu.upf
Cs 132.91 Cs.upf
Au 196.97 Au.upf
CELL_PARAMETERS angstrom
-2.381 2.640 -1.815
-1.538 -2.926 -2.238
-5.846 -1.322 5.746
ATOMIC_POSITIONS crystal
Eu 0.500 0.500 0.000
Cs 0.500 0.500 0.500
Au 0.000 0.000 0.818
Au 0.000 0.000 0.182

(2)
! GGA-PBE Cs8Au5F, relaxed; values from VASP
! polymorph energy (0 for the lowest one): 0.000 kcal/mol of atoms
! DFT total energy: -33.2 eV for the cell shown
! D(E_F): 8.7 states/eV/cell
&SYSTEM
  ibrav = 0, nat = 14, ntyp = 3
/
ATOMIC_SPECIES
Cs 132.91 Cs.upf
Au 196.97 Au.upf
F 19.00 F.upf
CELL_PARAMETERS angstrom
10.397 0.000 0.000
5.198 9.004 0.000
5.198 3.001 8.489
ATOMIC_POSITIONS crystal
Cs 0.366 0.901 0.366
Cs 0.901 0.366 0.366
Cs 0.366 0.366 0.366
Cs 0.366 0.366 0.901
Cs 0.864 0.864 0.407
Cs 0.407 0.864 0.864
Cs 0.864 0.864 0.864
Cs 0.864 0.407 0.864
Au 0.000 0.000 0.000
Au 0.621 0.621 0.138
Au 0.621 0.621 0.621
Au 0.138 0.621 0.621
Au 0.621 0.138 0.621
F 0.250 0.250 0.250

> Which of these has the highest DFT total energy?

CsEuAu2

> Look up the polymorph energy (0 for the lowest one) of the second one.

0.000 kcal/mol of atoms